(1)
Density functional theory data (GGA-PBE) for crystalline LaTbErHg at its relaxed geometry.

Unit cell a=7.7890 b=7.7890 c=7.7890 alpha=90.00 beta=90.00 gamma=90.00
Space group F-43m (No. 216)
One atom of each set of equivalent atoms:
1 La 0.0000 0.0000 0.0000
2 Tb 0.0000 0.0000 0.5000
3 Er 0.2500 0.2500 0.7500
4 Hg 0.2500 0.2500 0.2500

Output
Total magnetic moment, μB per formula unit: 0.1
Crystal system: cubic

(2)
Density functional theory data (GGA-PBE) for crystalline LaTbErHg at its relaxed geometry.

Unit cell a=3.6743 b=3.6743 c=8.8766 alpha=90.00 beta=90.00 gamma=90.00
Space group P4mm (No. 99)
One atom of each set of equivalent atoms:
1 La 0.0000 0.0000 0.0000
2 Tb 0.5000 0.5000 0.7107
3 Er 0.5000 0.5000 0.2860
4 Hg 0.0000 0.0000 0.4919

Output
Total magnetic moment, μB per formula unit: 0.0
Crystal system: tetragonal

Which is more stable than every other structure shown? (2) is more stable than every other one.